[1]
Compound: BiPO2F
Source: Alexandria via LeMat-Bulk
Functional: GGA-PBE
Structure: optimized geometry

Unit cell a=4.3899 b=4.3899 c=4.4536 alpha=90.00 beta=90.00 gamma=90.00
Fractional coordinates of all 5 atoms:
F 0.0000 0.0000 0.5000
P 0.5000 0.5000 0.5000
Bi 0.0000 0.0000 0.0000
O 0.5000 0.0000 0.0000
O 0.0000 0.5000 0.0000

Output
total energy = -4.421 eV per atom
crystal system = tetragonal
energy relative to the elements, uncorrected = -1.03 eV per formula unit
magnetization = 1.82 μB/cell
N(E_F) = 3.230 states/eV/f.u.


[2]
Compound: Ag5Te2Br2
Source: Alexandria via LeMat-Bulk
Functional: GGA-PBE
Structure: optimized geometry

Unit cell a=7.8504 b=7.8166 c=9.6735 alpha=113.83 beta=113.94 gamma=90.00
Fractional coordinates of all 18 atoms:
Ag 0.4961 0.2308 0.7793
Ag 0.1970 0.7990 0.8730
Ag 0.2169 0.9516 0.2207
Ag 0.0883 0.5761 0.5000
Ag 0.9117 0.0761 0.5000
Ag 0.5039 0.4516 0.2207
Ag 0.8030 0.9260 0.1270
Ag 0.8240 0.4260 0.1270
Ag 0.7831 0.7308 0.7793
Ag 0.1760 0.2990 0.8730
Te 0.2073 0.2508 0.5000
Te 0.0000 0.0931 0.0000
Te 0.5000 0.5931 0.0000
Te 0.7927 0.7508 0.5000
Br 0.5638 0.1311 0.2535
Br 0.8103 0.3776 0.7465
Br 0.1897 0.6311 0.2535
Br 0.4362 0.8776 0.7465

Output
total energy = -2.749 eV per atom
crystal system = orthorhombic
energy relative to the elements, uncorrected = -0.85 eV per formula unit
distance to the lowest polymorph of the same formula = 1.29 kcal/mol of atoms
magnetization = 0.00 μB/cell
N(E_F) = 2.093 states/eV/f.u.


[3]
Compound: K4NdNb3O12
Source: Alexandria via LeMat-Bulk
Functional: GGA-PBE
Structure: optimized geometry

Unit cell a=7.3035 b=7.3035 c=7.3035 alpha=109.47 beta=109.47 gamma=109.47
Fractional coordinates of all 20 atoms:
O 0.2722 0.2722 0.0000
O 0.2500 0.7500 0.5000
O 0.5000 0.7500 0.2500
O 0.0000 0.2722 0.2722
O 0.0000 0.7278 0.7278
O 0.7278 0.0000 0.7278
O 0.7278 0.7278 0.0000
O 0.7500 0.2500 0.5000
O 0.7500 0.5000 0.2500
O 0.2722 0.0000 0.2722
O 0.5000 0.2500 0.7500
O 0.2500 0.5000 0.7500
Nb 0.0000 0.5000 0.5000
Nb 0.5000 0.0000 0.5000
Nb 0.5000 0.5000 0.0000
K 0.5000 0.5000 0.5000
K 0.0000 0.0000 0.5000
K 0.0000 0.5000 0.0000
K 0.5000 0.0000 0.0000
Nd 0.0000 0.0000 0.0000

Output
total energy = -7.209 eV per atom
crystal system = cubic
energy relative to the elements, uncorrected = -45.30 eV per formula unit
magnetization = 2.12 μB/cell
N(E_F) = 11.219 states/eV/f.u.


[4]
Compound: BaSb2Cl
Source: Alexandria via LeMat-Bulk
Functional: GGA-PBE
Structure: optimized geometry

Unit cell a=4.0830 b=4.0584 c=8.9671 alpha=62.71 beta=90.00 gamma=90.00
Fractional coordinates of all 4 atoms:
Sb 0.5000 0.2876 0.2058
Sb 0.0000 0.9292 0.0665
Cl 0.5000 0.8102 0.6944
Ba 0.0000 0.4729 0.5334

Output
total energy = -4.024 eV per atom
crystal system = monoclinic
energy relative to the elements, uncorrected = -4.08 eV per formula unit
distance to the lowest polymorph of the same formula = 0.00 kcal/mol of atoms
magnetization = 0.00 μB/cell
N(E_F) = 0.480 states/eV/f.u.


[5]
Compound: La2TaW
Source: Alexandria via LeMat-Bulk
Functional: GGA-PBE
Structure: optimized geometry

Unit cell a=4.4371 b=3.1933 c=7.1052 alpha=76.34 beta=90.00 gamma=90.00
Fractional coordinates of all 4 atoms:
La 0.5000 0.2751 0.2797
La 0.0000 0.9299 0.9661
W 0.5000 0.7483 0.7076
Ta 0.0000 0.5467 0.5466

Output
total energy = -8.178 eV per atom
crystal system = monoclinic
distance to the lowest polymorph of the same formula = 4.02 kcal/mol of atoms
magnetization = 0.00 μB/cell
ΔE_f = 0.487 eV/atom
N(E_F) = 4.934 states/eV/f.u.


[6]
Compound: ZnOsRu2
Source: Alexandria via LeMat-Bulk
Functional: GGA-PBE
Structure: optimized geometry

Unit cell a=4.7413 b=4.7413 c=4.7413 alpha=132.95 beta=132.95 gamma=68.73
Fractional coordinates of all 4 atoms:
Zn 0.2500 0.7500 0.5000
Os 0.7500 0.2500 0.5000
Ru 0.5000 0.5000 0.0000
Ru 0.0000 0.0000 0.0000

Output
total energy = -7.533 eV per atom
crystal system = tetragonal
magnetization = 0.00 μB/cell
ΔE_f = 0.231 eV/atom
N(E_F) = 5.315 states/eV/f.u.


[7]
Compound: LaH7Pd5
Source: Alexandria via LeMat-Bulk
Functional: GGA-PBE
Structure: optimized geometry

Unit cell a=5.7826 b=5.7132 c=5.6706 alpha=119.41 beta=60.17 gamma=90.02
Fractional coordinates of all 13 atoms:
Pd 0.5439 0.8706 0.4091
Pd 0.1594 0.5132 0.6325
Pd 0.0686 0.9306 0.3633
Pd 0.6232 0.8851 0.8783
Pd 0.5244 0.4055 0.8962
H 0.4506 0.5502 0.3235
H 0.9800 0.7096 0.5447
H 0.8207 0.7912 0.0096
H 0.3410 0.1034 0.3328
H 0.9055 0.2933 0.6901
H 0.4444 0.0831 0.8166
H 0.2229 0.5840 0.9537
La 0.9155 0.2801 0.1499

Output
total energy = -4.504 eV per atom
crystal system = triclinic
magnetization = 0.00 μB/cell
N(E_F) = 0.747 states/eV/f.u.


[8]
Compound: PrYBiSb
Source: Alexandria via LeMat-Bulk
Functional: GGA-PBE
Structure: optimized geometry

Unit cell a=4.5216 b=4.5216 c=7.8193 alpha=73.19 beta=73.19 gamma=60.00
Fractional coordinates of all 4 atoms:
Bi 0.9407 0.9407 0.1780
Pr 0.6961 0.6961 0.9118
Y 0.1921 0.1921 0.4236
Sb 0.4476 0.4476 0.6573

Output
total energy = -5.862 eV per atom
crystal system = trigonal
energy relative to the elements, uncorrected = -4.20 eV per formula unit
magnetization = 0.00 μB/cell
N(E_F) = 0.701 states/eV/f.u.


[9]
Compound: ZnPH2
Source: Alexandria via LeMat-Bulk
Functional: GGA-PBE
Structure: optimized geometry

Unit cell a=2.6685 b=4.7860 c=4.2229 alpha=90.00 beta=107.12 gamma=90.00
Fractional coordinates of all 4 atoms:
P 0.7831 0.0000 0.3110
Zn 0.8588 0.5000 0.4748
H 0.9492 0.0000 0.6683
H 0.4807 0.5000 0.7365

Output
total energy = -3.155 eV per atom
crystal system = monoclinic
distance to the lowest polymorph of the same formula = 2.76 kcal/mol of atoms
magnetization = 0.00 μB/cell
N(E_F) = 0.391 states/eV/f.u.


[10]
Compound: NdIn2Rh
Source: Alexandria via LeMat-Bulk
Functional: GGA-PBE
Structure: optimized geometry

Unit cell a=3.4116 b=3.4116 c=7.6734 alpha=90.00 beta=90.00 gamma=90.00
Fractional coordinates of all 4 atoms:
Nd 0.5000 0.5000 0.5000
Rh 0.5000 0.5000 0.0000
In 0.0000 0.0000 0.8028
In 0.0000 0.0000 0.1972

Output
total energy = -4.810 eV per atom
crystal system = tetragonal
magnetization = 0.00 μB/cell
ΔE_f = -0.411 eV/atom
N(E_F) = 3.504 states/eV/f.u.


[11]
Compound: Ho5Al
Source: Alexandria via LeMat-Bulk
Functional: GGA-PBE
Structure: optimized geometry

Unit cell a=3.6634 b=6.3438 c=8.4786 alpha=67.59 beta=77.52 gamma=73.22
Fractional coordinates of all 6 atoms:
Ho 0.0000 0.5000 0.5000
Ho 0.6661 0.9654 0.7024
Ho 0.6426 0.5740 0.1407
Ho 0.3339 0.0346 0.2976
Ho 0.3574 0.4260 0.8593
Al 0.0000 0.0000 0.0000

Output
total energy = -4.544 eV per atom
crystal system = monoclinic
distance to the lowest polymorph of the same formula = 0.00 kcal/mol of atoms
magnetization = 0.00 μB/cell
ΔE_f = -0.106 eV/atom
N(E_F) = 7.365 states/eV/f.u.


[12]
Compound: HfCrRu3
Source: Alexandria via LeMat-Bulk
Functional: GGA-PBE
Structure: optimized geometry

Unit cell a=4.4102 b=4.4102 c=4.4102 alpha=90.00 beta=90.00 gamma=90.00
Fractional coordinates of all 5 atoms:
Ru 0.5000 0.0000 0.0000
Ru 0.0000 0.5000 0.0000
Ru 0.0000 0.0000 0.5000
Cr 0.0000 0.0000 0.0000
Hf 0.5000 0.5000 0.5000

Output
total energy = -8.886 eV per atom
crystal system = cubic
distance to the lowest polymorph of the same formula = 0.00 kcal/mol of atoms
magnetization = 0.00 μB/cell
ΔE_f = 0.594 eV/atom
N(E_F) = 5.306 states/eV/f.u.